DFT (GGA-PBE) results for a relaxed AgPd2 crystal.

Energy relative to the elements, meV/atom: 3
Relative energy among the computed polymorphs, eV per atom: 0.0171
Density, g/cm³: 11.0

```
AgPd2
1.0
5.2829 -1.4032 0.0000
5.2829 1.4032 0.0000
-1.7945 0.0000 6.5567
Ag Pd
2 4
direct
0.0278 0.0278 0.3070
0.9722 0.9722 0.6930
0.2998 0.2998 0.3566
0.3599 0.3599 0.9764
0.6401 0.6401 0.0236
0.7002 0.7002 0.6434
```